Below is a geometry-optimized BeAg2PO4 structure, with properties calculated at the PBE level.

The structure in CIF format:
```
data_BeAg2PO4
_chemical_formula_sum 'Be1 Ag2 P1 O4'
_space_group_name_H-M_alt 'P 1'
_space_group_IT_number 1
_cell_length_a 5.1593
_cell_length_b 5.1593
_cell_length_c 5.1593
_cell_angle_alpha 88.92
_cell_angle_beta 120.63
_cell_angle_gamma 120.63
loop_
_space_group_symop_operation_xyz
'x,y,z'
loop_
_atom_site_label
_atom_site_fract_x
_atom_site_fract_y
_atom_site_fract_z
Be1 0.5000 0.2500 0.7500
Ag1 0.5000 0.7500 0.2500
Ag2 0.0000 0.0000 0.0000
P1 0.0000 0.5000 0.5000
O1 0.7009 0.3795 0.5640
O2 0.1845 0.3214 0.6205
O3 0.8155 0.4360 0.1369
O4 0.2991 0.8631 0.6786
```

Space-group type ... I-4
Magnetization ... 0.00 μB/cell

---

Below is a geometry-optimized PaBeAg2O6 structure, with properties calculated at the PBE level.

The structure in CIF format:
```
data_PaBeAg2O6
_chemical_formula_sum 'Pa1 Be1 Ag2 O6'
_space_group_name_H-M_alt 'P 1'
_space_group_IT_number 1
_cell_length_a 5.2676
_cell_length_b 5.6278
_cell_length_c 6.0750
_cell_angle_alpha 78.40
_cell_angle_beta 64.99
_cell_angle_gamma 62.66
loop_
_space_group_symop_operation_xyz
'x,y,z'
loop_
_atom_site_label
_atom_site_fract_x
_atom_site_fract_y
_atom_site_fract_z
Pa1 0.8536 0.8283 0.5015
Be1 0.2588 0.2155 0.2388
Ag1 0.5340 0.4808 0.4791
Ag2 0.9946 0.0498 0.9508
O1 0.5703 0.1726 0.2635
O2 0.2039 0.9733 0.2078
O3 0.9761 0.4989 0.2776
O4 0.4099 0.8173 0.6836
O5 0.7666 0.1125 0.7291
O6 0.0939 0.5125 0.6833
```

Space-group type ... P1
Magnetization ... 0.00 μB/cell

---

Below is a geometry-optimized PaBe2Ag2O6 structure, with properties calculated at the PBE level.

The structure in CIF format:
```
data_PaBe2Ag2O6
_chemical_formula_sum 'Pa1 Be2 Ag2 O6'
_space_group_name_H-M_alt 'P 1'
_space_group_IT_number 1
_cell_length_a 5.4682
_cell_length_b 5.4682
_cell_length_c 5.8866
_cell_angle_alpha 90.00
_cell_angle_beta 90.00
_cell_angle_gamma 120.00
loop_
_space_group_symop_operation_xyz
'x,y,z'
loop_
_atom_site_label
_atom_site_fract_x
_atom_site_fract_y
_atom_site_fract_z
Pa1 0.0000 0.0000 0.0000
Be1 0.3333 0.6667 0.7857
Be2 0.6667 0.3333 0.2143
Ag1 0.6667 0.3333 0.7003
Ag2 0.3333 0.6667 0.2997
O1 0.0803 0.3611 0.7862
O2 0.6389 0.7192 0.7862
O3 0.2808 0.9197 0.7862
O4 0.9197 0.6389 0.2138
O5 0.3611 0.2808 0.2138
O6 0.7192 0.0803 0.2138
```

Space-group type ... P-3
Magnetization ... 0.76 μB/cell

---

Below is a geometry-optimized BeAg2PbO4 structure, with properties calculated at the PBE level.

The structure in CIF format:
```
data_BeAg2PbO4
_chemical_formula_sum 'Be1 Ag2 Pb1 O4'
_space_group_name_H-M_alt 'P 1'
_space_group_IT_number 1
_cell_length_a 5.1494
_cell_length_b 5.1510
_cell_length_c 5.5907
_cell_angle_alpha 117.43
_cell_angle_beta 117.43
_cell_angle_gamma 90.00
loop_
_space_group_symop_operation_xyz
'x,y,z'
loop_
_atom_site_label
_atom_site_fract_x
_atom_site_fract_y
_atom_site_fract_z
Be1 0.7359 0.7360 0.4719
Ag1 0.4860 0.9859 0.9718
Ag2 0.2356 0.2356 0.4714
Pb1 0.9859 0.4859 0.9717
O1 0.6691 0.6319 0.6832
O2 0.8399 0.4579 0.2604
O3 0.4205 0.8026 0.2603
O4 0.0141 0.0513 0.6833
```

Space-group type ... I-4
Magnetization ... 0.00 μB/cell

---

Below is a geometry-optimized PmBeAg2O4 structure, with properties calculated at the PBE level.

The structure in CIF format:
```
data_PmBeAg2O4
_chemical_formula_sum 'Pm1 Be1 Ag2 O4'
_space_group_name_H-M_alt 'P 1'
_space_group_IT_number 1
_cell_length_a 5.8568
_cell_length_b 5.0815
_cell_length_c 5.0815
_cell_angle_alpha 70.82
_cell_angle_beta 54.81
_cell_angle_gamma 54.81
loop_
_space_group_symop_operation_xyz
'x,y,z'
loop_
_atom_site_label
_atom_site_fract_x
_atom_site_fract_y
_atom_site_fract_z
Pm1 0.0000 0.0000 0.0000
Be1 0.0000 0.5000 0.5000
Ag1 0.5000 0.7500 0.2500
Ag2 0.5000 0.2500 0.7500
O1 0.6751 0.4917 0.8332
O2 0.3249 0.1668 0.5083
O3 0.0000 0.5083 0.1668
O4 0.0000 0.8332 0.4917
```

Space-group type ... I-42m
Magnetization ... 0.00 μB/cell

---

Below is a geometry-optimized BeAgPtO5 structure, with properties calculated at the PBE level.

The structure in CIF format:
```
data_BeAgPtO5
_chemical_formula_sum 'Be2 Ag2 Pt2 O10'
_space_group_name_H-M_alt 'P 1'
_space_group_IT_number 1
_cell_length_a 5.3744
_cell_length_b 5.3744
_cell_length_c 7.1619
_cell_angle_alpha 103.73
_cell_angle_beta 103.73
_cell_angle_gamma 109.77
loop_
_space_group_symop_operation_xyz
'x,y,z'
loop_
_atom_site_label
_atom_site_fract_x
_atom_site_fract_y
_atom_site_fract_z
Be1 0.6928 0.3072 0.2500
Be2 0.3072 0.6928 0.7500
Ag1 0.3329 0.6671 0.2500
Ag2 0.6671 0.3329 0.7500
Pt1 0.0000 0.0000 0.5000
Pt2 0.0000 0.0000 0.0000
O1 0.0913 0.9087 0.2500
O2 0.9087 0.0913 0.7500
O3 0.9356 0.3278 0.1401
O4 0.0644 0.6722 0.8599
O5 0.6722 0.0644 0.3599
O6 0.3278 0.9356 0.6401
O7 0.7389 0.5983 0.4193
O8 0.2611 0.4017 0.5807
O9 0.4017 0.2611 0.0807
O10 0.5983 0.7389 0.9193
```

Space-group type ... C2/c
Magnetization ... 1.46 μB/cell

---

Below is a geometry-optimized PuBe2AgO6 structure, with properties calculated at the PBE level.

The structure in CIF format:
```
data_PuBe2AgO6
_chemical_formula_sum 'Pu2 Be4 Ag2 O12'
_space_group_name_H-M_alt 'P 1'
_space_group_IT_number 1
_cell_length_a 5.4802
_cell_length_b 6.9024
_cell_length_c 6.9024
_cell_angle_alpha 85.11
_cell_angle_beta 75.18
_cell_angle_gamma 75.18
loop_
_space_group_symop_operation_xyz
'x,y,z'
loop_
_atom_site_label
_atom_site_fract_x
_atom_site_fract_y
_atom_site_fract_z
Pu1 0.2500 0.2834 0.7166
Pu2 0.7500 0.7166 0.2834
Be1 0.3625 0.7680 0.6345
Be2 0.1375 0.3655 0.2320
Be3 0.6375 0.2320 0.3655
Be4 0.8625 0.6345 0.7680
Ag1 0.2500 0.9248 0.0752
Ag2 0.7500 0.0752 0.9248
O1 0.2243 0.9852 0.7347
O2 0.2757 0.2653 0.0148
O3 0.7757 0.0148 0.2653
O4 0.7243 0.7347 0.9852
O5 0.3842 0.7986 0.3790
O6 0.1158 0.6210 0.2014
O7 0.6158 0.2014 0.6210
O8 0.8842 0.3790 0.7986
O9 0.1839 0.6078 0.7069
O10 0.3161 0.2931 0.3922
O11 0.8161 0.3922 0.2931
O12 0.6839 0.7069 0.6078
```

Space-group type ... C2/c
Magnetization ... 1.90 μB/cell

---

Below is a geometry-optimized PuBeAgO5 structure, with properties calculated at the PBE level.

The structure in CIF format:
```
data_PuBeAgO5
_chemical_formula_sum 'Pu2 Be2 Ag2 O10'
_space_group_name_H-M_alt 'P 1'
_space_group_IT_number 1
_cell_length_a 5.6320
_cell_length_b 5.6320
_cell_length_c 8.0612
_cell_angle_alpha 108.80
_cell_angle_beta 108.80
_cell_angle_gamma 98.55
loop_
_space_group_symop_operation_xyz
'x,y,z'
loop_
_atom_site_label
_atom_site_fract_x
_atom_site_fract_y
_atom_site_fract_z
Pu1 0.0000 0.0000 0.5000
Pu2 0.0000 0.0000 0.0000
Be1 0.6800 0.3200 0.2500
Be2 0.3200 0.6800 0.7500
Ag1 0.3369 0.6631 0.2500
Ag2 0.6631 0.3369 0.7500
O1 0.0842 0.9158 0.2500
O2 0.9158 0.0842 0.7500
O3 0.8533 0.2682 0.1172
O4 0.1467 0.7318 0.8828
O5 0.7318 0.1467 0.3828
O6 0.2682 0.8533 0.6172
O7 0.7537 0.6365 0.3765
O8 0.2463 0.3635 0.6235
O9 0.3635 0.2463 0.1235
O10 0.6365 0.7537 0.8765
```

Space-group type ... C2/c
Magnetization ... 1.93 μB/cell

---

Number 1: formation energy (no corrections) -1.46 eV/atom. Number 2: formation energy (no corrections) -1.59 eV/atom. Number 3: formation energy (no corrections) -1.95 eV/atom. Number 4: formation energy (no corrections) -0.90 eV/atom. Number 5: formation energy (no corrections) -1.61 eV/atom. Number 6: formation energy (no corrections) -0.70 eV/atom. Number 7: formation energy (no corrections) -1.98 eV/atom. Number 8: formation energy (no corrections) -1.88 eV/atom.